A relaxed Cd2InNi crystal, computed with PBE.

The calculation puts the formation energy at 0.1126 eV per atom. As for the crystal system: trigonal. As for the magnetic moment: 0.0 μB/f.u.

The space group is R3m (No. 160, hexagonal axes) and the conventional cell measures 3.1516, 3.1516 and 28.0115 Å, with angles of 90.00, 90.00 and 120.00 degrees. Symmetry generates all atoms from Cd at (0.0000, 0.0000, 0.0000), Cd at (0.0000, 0.0000, 0.2362), In at (0.0000, 0.0000, 0.4733) and Ni at (0.0000, 0.0000, 0.7378).

A relaxed Cd2InNi crystal, computed with PBE.

The calculation puts the formation energy at 0.1553 eV per atom. As for the crystal system: cubic. As for the magnetic moment: 0.0 μB/f.u.

The space group is F-43m (No. 216) and the conventional cell measures 6.709, 6.709 and 6.709 Å, with angles of 90.00, 90.00 and 90.00 degrees. Symmetry generates all atoms from Cd at (0.000, 0.000, 0.000), Cd at (0.250, 0.250, 0.250), In at (0.000, 0.000, 0.500) and Ni at (0.250, 0.250, 0.750).

A relaxed Cd5In2Ni crystal, computed with PBE.

The calculation puts the formation energy at 0.0298 eV per atom. As for the crystal system: triclinic. As for the magnetic moment: 0.0 μB/f.u.

The space group is P1 (No. 1) and the conventional cell measures 5.106, 6.072 and 6.261 Å, with angles of 106.28, 102.62 and 91.71 degrees. Symmetry generates all atoms from Cd at (0.000, 0.000, 0.000), Cd at (0.084, 0.046, 0.526), Cd at (0.447, 0.765, 0.770), Cd at (0.537, 0.071, 0.289), Cd at (0.624, 0.291, 0.804), In at (0.258, 0.531, 0.143), In at (0.877, 0.542, 0.509) and Ni at (0.766, 0.678, 0.144).

A relaxed Cd2InNi crystal, computed with PBE.

The calculation puts the formation energy at -0.0020 eV per atom. As for the crystal system: monoclinic. As for the magnetic moment: 0.0 μB/f.u.

The space group is Cm (No. 8) and the conventional cell measures 13.022, 2.977 and 4.543 Å, with angles of 90.00, 109.96 and 90.00 degrees. Symmetry generates all atoms from Cd at (0.000, 0.000, 0.000), Cd at (0.179, 0.000, 0.679), In at (0.367, 0.000, 0.369) and Ni at (0.186, 0.500, 0.186).

A relaxed CdInNi3 crystal, computed with PBE.

The calculation puts the formation energy at 0.9756 eV per atom. Its energy above the most stable polymorph in this dataset is 0.000 eV per atom. As for the crystal system: cubic. As for the magnetic moment: 0.0 μB/f.u.

The space group is Pm-3m (No. 221) and the conventional cell measures 4.666, 4.666 and 4.666 Å, with angles of 90.00, 90.00 and 90.00 degrees. Symmetry generates all atoms from Cd at (0.000, 0.000, 0.000), In at (0.500, 0.500, 0.500) and Ni at (0.000, 0.500, 0.500).

A relaxed CdIn3Ni crystal, computed with PBE.

The calculation puts the formation energy at 0.9102 eV per atom. Its energy above the most stable polymorph in this dataset is 0.910 eV per atom. As for the crystal system: cubic. As for the magnetic moment: 0.0 μB/f.u.

The space group is Pm-3m (No. 221) and the conventional cell measures 5.434, 5.434 and 5.434 Å, with angles of 90.00, 90.00 and 90.00 degrees. Symmetry generates all atoms from Cd at (0.000, 0.000, 0.000), In at (0.000, 0.000, 0.500) and Ni at (0.500, 0.500, 0.500).

A relaxed Cd2InNi crystal, computed with PBE.

The calculation puts the formation energy at 0.1756 eV per atom. As for the crystal system: monoclinic. As for the magnetic moment: 0.0 μB/f.u.

The space group is C2/m (No. 12) and the conventional cell measures 5.675, 10.521 and 3.057 Å, with angles of 90.00, 120.09 and 90.00 degrees. Symmetry generates all atoms from Cd at (0.250, 0.250, 0.000), In at (0.000, 0.000, 0.000) and Ni at (0.000, 0.500, 0.000).

A relaxed Cd2InNi crystal, computed with PBE.

The calculation puts the formation energy at 0.1713 eV per atom. As for the crystal system: orthorhombic. As for the magnetic moment: 0.0 μB/f.u.

The space group is Cmmm (No. 65) and the conventional cell measures 5.742, 8.376 and 3.232 Å, with angles of 90.00, 90.00 and 90.00 degrees. Symmetry generates all atoms from Cd at (0.250, 0.250, 0.000), In at (0.000, 0.000, 0.500) and Ni at (0.000, 0.500, 0.500).

A relaxed Cd2InNi crystal, computed with PBE.

The calculation puts the formation energy at 0.1161 eV per atom. As for the crystal system: tetragonal. As for the magnetic moment: 0.0 μB/f.u.

The space group is I4/mmm (No. 139) and the conventional cell measures 4.143, 4.143 and 8.834 Å, with angles of 90.00, 90.00 and 90.00 degrees. Symmetry generates all atoms from Cd at (0.000, 0.500, 0.250), In at (0.000, 0.000, 0.000) and Ni at (0.000, 0.000, 0.500).

Which of these has the highest formation energy?
CdInNi3